Record 1
A relaxed Pm3HgPt crystal. Source: Alexandria via LeMat-Bulk, functional PBE.

a b c (Å): 4.7374 7.1467 8.6993
angles (deg): 90.00 90.00 90.00
Closest atoms and distances in Å follow each position.
Positions (direct):
Pm  0.2500  0.4989  0.3355  3 Pt 2.93-3.02
Pm  0.7500  0.5011  0.6645  3 Pt 2.93-3.02
Pm  0.7500  0.7500  0.0594  1 Pt 2.94, 2 Hg 3.11
Pm  0.2500  0.2500  0.9406  1 Pt 2.94, 2 Hg 3.11
Pm  0.7500  0.9989  0.6645  3 Pt 2.93-3.02
Pm  0.2500  0.0011  0.3355  3 Pt 2.93-3.02
Pt  0.7500  0.7500  0.3972  7 Pm 2.93-3.02
Pt  0.2500  0.2500  0.6028  7 Pm 2.93-3.02
Hg  0.2500  0.7500  0.8283  6 Pm 3.11-3.29
Hg  0.7500  0.2500  0.1717  6 Pm 3.11-3.29

## Properties
The value obtained for the raw total energy is -47.42 eV for the cell shown. Its space group is No. 59. The value obtained for the calculated formation energy is -623 meV/atom. The calculation puts the density of states at the Fermi level at 12.71 states/eV per cell.

Record 2
A relaxed Pm3HgPt2 crystal. Source: Alexandria via LeMat-Bulk, functional PBE.

a b c (Å): 3.6092 3.6092 11.3572
angles (deg): 90.00 90.00 90.00
Closest atoms and distances in Å follow each position.
Positions (direct):
Pt  0.5000  0.5000  0.8361  8 Pm 3.05-3.16
Pt  0.5000  0.5000  0.1639  8 Pm 3.05-3.16
Pm  0.0000  0.0000  0.6890  4 Pt 3.05, 4 Hg 3.33
Pm  0.0000  0.0000  0.0000  8 Pt 3.16, 2 Pm 3.53
Pm  0.0000  0.0000  0.3110  4 Pt 3.05, 4 Hg 3.33
Hg  0.5000  0.5000  0.5000  8 Pm 3.33, 4 Hg 3.61

## Properties
The value obtained for the raw total energy is -31.89 eV for the cell shown. Its space group is No. 123. The value obtained for the calculated formation energy is -875 meV/atom. The calculation puts the density of states at the Fermi level at 5.19 states/eV per cell.

Record 3
A relaxed Pm8HgPt2 crystal. Source: Alexandria via LeMat-Bulk, functional PBE.

a b c (Å): 5.1999 7.0023 9.8102
angles (deg): 109.13 105.37 90.00
Closest atoms and distances in Å follow each position.
Positions (direct):
Pm  0.0294  0.7768  0.0588  1 Pt 2.79
Pm  0.7999  0.6534  0.5998  1 Pt 2.93
Pm  0.5960  0.4822  0.1920  2 Pt 3.18, 1 Hg 3.25, 1 Pm 3.44
Pm  0.6777  0.0029  0.3554  1 Pt 2.85
Pm  0.4040  0.5178  0.8080  2 Pt 3.18, 1 Hg 3.25, 1 Pm 3.44
Pm  0.3223  0.9971  0.6446  1 Pt 2.85
Pm  0.2001  0.3466  0.4002  1 Pt 2.93
Pm  0.9706  0.2232  0.9412  1 Pt 2.79
Pt  0.1703  0.7305  0.3405  3 Pm 2.79-2.93
Pt  0.8297  0.2695  0.6595  3 Pm 2.79-2.93
Hg  0.5000  0.0000  0.0000  8 Pm 3.18-3.36

## Properties
The value obtained for the raw total energy is -56.01 eV for the cell shown. Its space group is No. 12. The value obtained for the calculated formation energy is -511 meV/atom. The calculation puts the density of states at the Fermi level at 9.87 states/eV per cell.

> What is the density of states at the Fermi level in the third record?

9.87 states/eV per cell